Entry 1
ReOs at its PBEsol-relaxed geometry, computed with meta-GGA SCAN.

abc: 5.1561 5.1561 6.4480
angles: 103.24 103.24 30.81
Closest atoms and distances in Å follow each position.
Sites, in units of the cell vectors:
Re 0.0000 0.0000 0.0000  5 Re 2.68-2.74, 7 Os 2.69-2.75
Re 0.0570 0.0570 0.6145  7 Os 2.67-2.73, 5 Re 2.68-2.76
Re 0.3860 0.3860 0.2817  6 Os 2.66-2.75, 6 Re 2.73-2.76
Os 0.3322 0.3322 0.6693  6 Re 2.67-2.74, 6 Os 2.68-2.75
Os 0.6668 0.6668 0.3348  7 Re 2.66-2.75, 5 Os 2.70-2.75
Os 0.7225 0.7225 0.9456  5 Os 2.68-2.74, 7 Re 2.69-2.75

Its calculated volume is 14.21 Å³/atom. Its space-group type is Cm, No. 8.

---

Entry 2
ReOs at its PBEsol-relaxed geometry, computed with meta-GGA SCAN.

abc: 5.8516 5.8516 5.8516
angles: 153.05 136.61 51.82
Closest atoms and distances in Å follow each position.
Sites, in units of the cell vectors:
Re 0.3933 0.1433 0.2500  4 Re 2.63-2.73, 6 Os 2.65-2.70
Re 0.6067 0.8567 0.7500  4 Re 2.63-2.73, 6 Os 2.65-2.70
Os 0.1717 0.4217 0.7500  6 Re 2.65-2.70, 4 Os 2.72-2.73
Os 0.8283 0.5783 0.2500  6 Re 2.65-2.70, 4 Os 2.72-2.73

Its calculated volume is 15.52 Å³/atom. Its space-group type is Imma, No. 74.

---

Of them, the most stable is entry 1 and the least stable is entry 2.

---

Entry 1
TaRe2Mo at its PBEsol-relaxed geometry, computed with meta-GGA SCAN.

abc: 4.4370 4.4370 4.4370
angles: 60.00 60.00 60.00
Closest atoms and distances in Å follow each position.
Sites, in units of the cell vectors:
Ta 0.0000 0.0000 0.0000  8 Re 2.72
Re 0.2500 0.2500 0.2500  4 Ta 2.72, 4 Mo 2.72
Re 0.7500 0.7500 0.7500  4 Ta 2.72, 4 Mo 2.72
Mo 0.5000 0.5000 0.5000  8 Re 2.72

Its calculated volume is 15.44 Å³/atom. Its space-group type is Fm-3m, No. 225.

---

Entry 2
TaRe2Mo at its PBEsol-relaxed geometry, computed with meta-GGA SCAN.

abc: 3.1321 3.1321 6.2933
angles: 90.00 90.00 90.00
Closest atoms and distances in Å follow each position.
Sites, in units of the cell vectors:
Ta 0.0000 0.0000 0.0000  8 Re 2.72
Re 0.5000 0.5000 0.2522  4 Mo 2.71, 4 Ta 2.72
Re 0.5000 0.5000 0.7478  4 Mo 2.71, 4 Ta 2.72
Mo 0.0000 0.0000 0.5000  8 Re 2.71

Its calculated volume is 15.43 Å³/atom. Its space-group type is P4/mmm, No. 123.

---

Of them, the most stable is entry 2 and the least stable is entry 1.

---

Entry 1
MgTl2Cd at its PBEsol-relaxed geometry, computed with meta-GGA SCAN.

abc: 5.1778 5.1778 5.1778
angles: 60.00 60.00 60.00
Closest atoms and distances in Å follow each position.
Sites, in units of the cell vectors:
Mg 0.0000 0.0000 0.0000  8 Tl 3.17
Tl 0.2500 0.2500 0.2500  4 Cd 3.17, 4 Mg 3.17
Tl 0.7500 0.7500 0.7500  4 Cd 3.17, 4 Mg 3.17
Cd 0.5000 0.5000 0.5000  8 Tl 3.17

Its calculated volume is 24.54 Å³/atom. Its space-group type is Fm-3m, No. 225.

---

Entry 2
MgTl2Cd at its PBEsol-relaxed geometry, computed with meta-GGA SCAN.

abc: 5.4845 5.4845 5.4845
angles: 128.60 128.60 75.66
Closest atoms and distances in Å follow each position.
Sites, in units of the cell vectors:
Mg 0.0000 0.0000 0.0000  8 Tl 3.22, 4 Cd 3.36
Tl 0.2500 0.7500 0.5000  4 Cd 3.22, 4 Mg 3.22, 4 Tl 3.36
Tl 0.7500 0.2500 0.5000  4 Cd 3.22, 4 Mg 3.22, 4 Tl 3.36
Cd 0.5000 0.5000 0.0000  8 Tl 3.22, 4 Mg 3.36

Its calculated volume is 24.51 Å³/atom. Its space-group type is I4/mmm, No. 139.

---

Of them, the most stable is entry 2 and the least stable is entry 1.

---

Entry 1
LaW2Cl at its PBEsol-relaxed geometry, computed with meta-GGA SCAN.

abc: 10.1424 10.1424 10.1424
angles: 16.50 16.50 16.50
Closest atoms and distances in Å follow each position.
Sites, in units of the cell vectors:
La 0.0000 0.0000 0.0000  6 La 2.91
W 0.2357 0.2357 0.2357  3 Cl 2.67, 6 W 2.91
W 0.7643 0.7643 0.7643  3 Cl 2.67, 6 W 2.91
Cl 0.5000 0.5000 0.5000  6 W 2.67, 6 Cl 2.91

Its calculated volume is 18.34 Å³/atom. Its space-group type is R-3m, No. 166.

---

Entry 2
LaW2Cl at its PBEsol-relaxed geometry, computed with meta-GGA SCAN.

abc: 2.8386 5.3467 5.4619
angles: 90.00 90.00 90.00
Closest atoms and distances in Å follow each position.
Sites, in units of the cell vectors:
La 0.0000 0.0000 0.0000  2 Cl 2.67, 2 La 2.84
W 0.5000 0.2293 0.5000  1 W 2.45
W 0.5000 0.7707 0.5000  1 W 2.45
Cl 0.0000 0.5000 0.0000  2 La 2.67, 2 Cl 2.84

Its calculated volume is 20.72 Å³/atom. Its space-group type is Pmmm, No. 47.

---

Of them, the most stable is entry 2 and the least stable is entry 1.

---

Entry 1
Li2InPb at its PBEsol-relaxed geometry, computed with meta-GGA SCAN.

abc: 4.8419 4.8419 4.8419
angles: 119.87 119.87 90.23
Closest atoms and distances in Å follow each position.
Sites, in units of the cell vectors:
Li 0.2500 0.7500 0.5000  4 In 2.97, 4 Pb 2.97
Li 0.7500 0.2500 0.5000  4 Pb 2.97, 4 In 2.97
In 0.0000 0.0000 0.0000  8 Li 2.97
Pb 0.5000 0.5000 0.0000  8 Li 2.97

Its calculated volume is 20.11 Å³/atom. Its space-group type is I4/mmm, No. 139.

---

Entry 2
Li2InPb at its PBEsol-relaxed geometry, computed with meta-GGA SCAN.

abc: 5.4711 5.4711 4.9083
angles: 102.90 102.90 36.19
Closest atoms and distances in Å follow each position.
Sites, in units of the cell vectors:
Li 0.0000 0.0000 0.0000  4 In 2.92-3.06, 3 Pb 3.01-3.04, 2 Li 3.13
Li 0.7465 0.7465 0.2960  4 Pb 2.97-3.00, 3 In 2.99-3.02, 3 Li 3.13-3.30
In 0.4884 0.4884 0.4774  7 Li 2.92-3.06, 1 Pb 3.22
Pb 0.2535 0.2535 0.8039  7 Li 2.97-3.04, 3 In 3.22-3.31

Its calculated volume is 21.08 Å³/atom. Its space-group type is Cm, No. 8.

---

Of them, the most stable is entry 1 and the least stable is entry 2.

---

Entry 1
BaTaW2 at its PBEsol-relaxed geometry, computed with meta-GGA SCAN.

abc: 11.0703 11.0703 11.0703
angles: 15.18 15.18 15.18
Closest atoms and distances in Å follow each position.
Sites, in units of the cell vectors:
Ba 0.0000 0.0000 0.0000  6 Ba 2.92
Ta 0.5000 0.5000 0.5000  6 Ta 2.92, 6 W 2.94
W 0.2398 0.2398 0.2398  6 W 2.92, 3 Ta 2.94
W 0.7602 0.7602 0.7602  6 W 2.92, 3 Ta 2.94

Its calculated volume is 20.26 Å³/atom. Its space-group type is R-3m, No. 166.

---

Entry 2
BaTaW2 at its PBEsol-relaxed geometry, computed with meta-GGA SCAN.

abc: 5.7233 5.7233 5.7233
angles: 148.11 127.54 62.71
Closest atoms and distances in Å follow each position.
Sites, in units of the cell vectors:
Ba 0.0000 0.0000 0.0000  4 Ta 2.98, 4 W 3.02, 2 Ba 3.14
Ta 0.5000 0.5000 0.0000  4 W 2.80, 4 Ba 2.98
W 0.2635 0.7635 0.5000  2 Ta 2.80, 4 W 2.99, 2 Ba 3.02
W 0.7365 0.2365 0.5000  2 Ta 2.80, 4 W 2.99, 2 Ba 3.02

Its calculated volume is 19.44 Å³/atom. Its space-group type is Immm, No. 71.

---

Of them, the most stable is entry 1 and the least stable is entry 2.

---

Entry 1
LiFePO4 at its PBEsol-relaxed geometry, computed with meta-GGA SCAN.

abc: 5.3409 5.3409 6.0306
angles: 90.22 90.22 54.04
Closest atoms and distances in Å follow each position.
Sites, in units of the cell vectors:
Li 0.1769 0.1769 0.2496  4 O 1.94-2.10
Li 0.8231 0.8231 0.7504  4 O 1.94-2.10
Fe 0.5251 0.4749 0.5000  4 O 2.03-2.12
Fe 0.5271 0.4729 0.0000  4 O 2.03-2.11
P 0.1773 0.1989 0.7494  4 O 1.53-1.59
P 0.8011 0.8227 0.2506  4 O 1.53-1.59
O 0.1564 0.5642 0.2511  1 P 1.56
O 0.2820 0.4234 0.7506  1 P 1.59
O 0.4358 0.8436 0.7489  1 P 1.56
O 0.5766 0.7180 0.2494  1 P 1.59
O 0.7133 0.0185 0.4615  1 P 1.53
O 0.7142 0.0178 0.0402  1 P 1.53
O 0.9822 0.2858 0.9598  1 P 1.53
O 0.9815 0.2867 0.5385  1 P 1.53

Its calculated volume is 9.95 Å³/atom. Its space-group type is C2, No. 5.

---

Entry 2
LiFePO4 at its PBEsol-relaxed geometry, computed with meta-GGA SCAN.

abc: 5.6382 5.6382 5.6382
angles: 121.18 118.79 90.03
Closest atoms and distances in Å follow each position.
Sites, in units of the cell vectors:
Li 0.0000 0.0000 0.0000  6 O 2.07-2.13
Li 0.5000 0.0000 0.5000  6 O 2.07-2.13
Fe 0.5000 0.0000 0.0000  6 O 2.05-2.12
Fe 0.5000 0.5000 0.5000  6 O 2.05-2.12
P 0.1319 0.3819 0.7500  4 O 1.56
P 0.8681 0.6181 0.2500  4 O 1.56
O 0.2040 0.7339 0.4701  1 P 1.56
O 0.2361 0.2661 0.9701  1 P 1.56
O 0.2435 0.2630 0.5195  1 P 1.56
O 0.2435 0.7239 0.9805  1 P 1.56
O 0.7565 0.2761 0.0195  1 P 1.56
O 0.7565 0.7370 0.4805  1 P 1.56
O 0.7639 0.7339 0.0299  1 P 1.56
O 0.7960 0.2661 0.5299  1 P 1.56

Its calculated volume is 9.05 Å³/atom. Its space-group type is Imma, No. 74.

---

Of them, the most stable is entry 2 and the least stable is entry 1.